Material: MnGaI4
Method: DFT, PBE-GGA
State: optimized geometry

Calculated values
E, eV/atom: -3.29
Energy above the most stable polymorph in this dataset, meV per atom: 147
Formation energy (no corrections), meV per atom: -228

Structure (CIF):
```
data_MnGaI4
_chemical_formula_sum 'Mn2 Ga2 I8'
_cell_length_a 8.144
_cell_length_b 8.144
_cell_length_c 10.033
_cell_angle_alpha 90.00
_cell_angle_beta 90.00
_cell_angle_gamma 90.00
_symmetry_space_group_name_H-M 'P 42/m m c'
_symmetry_Int_Tables_number 131
_symmetry_space_group_name_Hall '-P 4c 2'
loop_
_atom_site_label
_atom_site_type_symbol
_atom_site_fract_x
_atom_site_fract_y
_atom_site_fract_z
Mn1 Mn 0.000 0.000 0.000
Ga1 Ga 0.000 0.500 0.000
I1 I 0.231 0.240 0.500
```

Material: Mn2GaI
Method: DFT, PBE-GGA
State: optimized geometry

Calculated values
E, eV/atom: -4.94
Energy above the most stable polymorph in this dataset, meV per atom: 250
Formation energy (no corrections), meV per atom: 787

Structure (CIF):
```
data_Mn2GaI
_chemical_formula_sum 'Mn8 Ga4 I4'
_cell_length_a 6.134
_cell_length_b 6.134
_cell_length_c 6.134
_cell_angle_alpha 90.00
_cell_angle_beta 90.00
_cell_angle_gamma 90.00
_symmetry_space_group_name_H-M 'F m -3 m'
_symmetry_Int_Tables_number 225
_symmetry_space_group_name_Hall '-F 4 2 3'
loop_
_atom_site_label
_atom_site_type_symbol
_atom_site_fract_x
_atom_site_fract_y
_atom_site_fract_z
Mn1 Mn 0.250 0.250 0.250
Ga1 Ga 0.000 0.000 0.000
I1 I 0.000 0.000 0.500
```

Material: MnGaI4
Method: DFT, PBE-GGA
State: optimized geometry

Calculated values
E, eV/atom: -3.44
Energy above the most stable polymorph in this dataset, meV per atom: 0
Formation energy (no corrections), meV per atom: -375

Structure (CIF):
```
data_MnGaI4
_chemical_formula_sum 'Mn2 Ga2 I8'
_cell_length_a 16.445
_cell_length_b 4.147
_cell_length_c 7.328
_cell_angle_alpha 90.00
_cell_angle_beta 115.69
_cell_angle_gamma 90.00
_symmetry_space_group_name_H-M 'C 1 2/m 1'
_symmetry_Int_Tables_number 12
_symmetry_space_group_name_Hall '-C 2y'
loop_
_atom_site_label
_atom_site_type_symbol
_atom_site_fract_x
_atom_site_fract_y
_atom_site_fract_z
Mn1 Mn 0.000 0.000 0.000
Ga1 Ga 0.000 0.500 0.500
I1 I 0.112 0.500 0.271
I2 I 0.114 0.000 0.793
```

Material: MnGaI2N
Method: DFT, PBE-GGA
State: optimized geometry

Calculated values
E, eV/atom: -4.60
Energy above the most stable polymorph in this dataset, meV per atom: 0
Formation energy (no corrections), meV per atom: 120

Structure (CIF):
```
data_MnGaI2N
_chemical_formula_sum 'Mn1 Ga1 I2 N1'
_cell_length_a 5.828
_cell_length_b 5.828
_cell_length_c 3.653
_cell_angle_alpha 90.00
_cell_angle_beta 90.00
_cell_angle_gamma 90.00
_symmetry_space_group_name_H-M 'P 4/m m m'
_symmetry_Int_Tables_number 123
_symmetry_space_group_name_Hall '-P 4 2'
loop_
_atom_site_label
_atom_site_type_symbol
_atom_site_fract_x
_atom_site_fract_y
_atom_site_fract_z
Mn1 Mn 0.000 0.000 0.000
Ga1 Ga 0.500 0.500 0.500
I1 I 0.000 0.500 0.000
N1 N 0.000 0.000 0.500
```